1.
Below is a relaxed Tl5AsS4 crystal, with properties calculated at the PBE level.

Properties
Its mass density is 6.5 g/cm3. Its energy relative to the elements, uncorrected is -0.235 eV per atom. The excess energy over the best structure of this formula in the dataset comes out at 0.018 eV per atom. The space-group type is Pmmn, No. 59.

Unit cell a=7.3611 b=9.1252 c=9.3333 alpha=90.00 beta=90.00 gamma=90.00
Sites, in units of the cell vectors:
1 Tl 0.7426 0.1901 0.2187
2 Tl 0.7426 0.1901 0.7813
3 Tl 0.1039 0.0000 0.5000
4 Tl 0.7426 0.8099 0.2187
5 Tl 0.7426 0.8099 0.7813
6 Tl 0.2574 0.6901 0.2813
7 Tl 0.2574 0.6901 0.7187
8 Tl 0.8961 0.5000 0.0000
9 Tl 0.2574 0.3099 0.7187
10 Tl 0.2574 0.3099 0.2813
11 As 0.3293 0.0000 0.0000
12 As 0.6707 0.5000 0.5000
13 S 0.1415 0.1993 0.0000
14 S 0.3861 0.0000 0.2816
15 S 0.3861 0.0000 0.7184
16 S 0.1415 0.8007 0.0000
17 S 0.8585 0.6993 0.5000
18 S 0.6139 0.5000 0.2184
19 S 0.6139 0.5000 0.7816
20 S 0.8585 0.3007 0.5000

2.
Below is a relaxed TlAs2S4 crystal, with properties calculated at the PBE level.

Properties
Its mass density is 5.3 g/cm3. Its energy relative to the elements, uncorrected is -0.029 eV per atom. The excess energy over the best structure of this formula in the dataset comes out at 0.028 eV per atom. The space-group type is Cmcm, No. 63.

Unit cell a=3.7265 b=6.4597 c=13.1006 alpha=90.00 beta=90.00 gamma=106.76
Sites, in units of the cell vectors:
1 Tl 0.5907 0.1814 0.7500
2 Tl 0.4093 0.8186 0.2500
3 As 0.1382 0.2763 0.4387
4 As 0.8618 0.7237 0.9387
5 As 0.1382 0.2763 0.0613
6 As 0.8618 0.7237 0.5613
7 S 0.7662 0.5324 0.1105
8 S 0.7662 0.5324 0.3895
9 S 0.2338 0.4676 0.8895
10 S 0.2338 0.4676 0.6105
11 S 0.9261 0.8522 0.7500
12 S 0.0739 0.1478 0.2500
13 S 0.5000 0.0000 0.0000
14 S 0.5000 0.0000 0.5000

3.
Below is a relaxed TlAsS crystal, with properties calculated at the PBE level.

Properties
Its mass density is 5.8 g/cm3. Its energy relative to the elements, uncorrected is 0.050 eV per atom. The excess energy over the best structure of this formula in the dataset comes out at 0.267 eV per atom. The space-group type is Pm, No. 6.

Unit cell a=3.7191 b=4.7264 c=5.4298 alpha=68.02 beta=89.95 gamma=89.98
Sites, in units of the cell vectors:
1 S 0.0862 0.4142 0.1760
2 Tl 0.5862 0.0278 0.6147
3 As 0.0864 0.4709 0.7643

4.
Below is a relaxed Tl5AsS crystal, with properties calculated at the PBE level.

Properties
Its mass density is 8.4 g/cm3. Its energy relative to the elements, uncorrected is -0.115 eV per atom. The space-group type is P2_1/m, No. 11.

Unit cell a=4.2460 b=8.0551 c=12.9933 alpha=90.61 beta=90.00 gamma=90.00
Sites, in units of the cell vectors:
1 Tl 0.2500 0.0521 0.3160
2 Tl 0.7500 0.1618 0.9156
3 Tl 0.7500 0.2908 0.4840
4 Tl 0.2500 0.3674 0.1156
5 Tl 0.2500 0.3290 0.7017
6 Tl 0.7500 0.6710 0.2983
7 Tl 0.7500 0.6326 0.8844
8 Tl 0.2500 0.7092 0.5160
9 Tl 0.2500 0.8382 0.0844
10 Tl 0.7500 0.9479 0.6840
11 As 0.2500 0.4271 0.3475
12 As 0.7500 0.5729 0.6525
13 S 0.7500 0.1002 0.1379
14 S 0.2500 0.8998 0.8621

5.
Below is a relaxed Tl3AsS3 crystal, with properties calculated at the PBE level.

Properties
Its mass density is 5.6 g/cm3. Its energy relative to the elements, uncorrected is -0.097 eV per atom. The excess energy over the best structure of this formula in the dataset comes out at 0.223 eV per atom. The space-group type is Cmcm, No. 63.

Unit cell a=6.5285 b=9.1013 c=9.1012 alpha=119.81 beta=90.00 gamma=90.00
Sites, in units of the cell vectors:
1 Tl 0.2500 0.6049 0.8023
2 Tl 0.2500 0.1972 0.3951
3 Tl 0.2500 0.1974 0.8030
4 Tl 0.7500 0.3951 0.1977
5 Tl 0.7500 0.8028 0.6049
6 Tl 0.7500 0.8026 0.1970
7 As 0.7500 0.3330 0.6669
8 As 0.2500 0.6670 0.3331
9 S 0.7500 0.6251 0.8126
10 S 0.7500 0.1870 0.3749
11 S 0.7500 0.1869 0.8135
12 S 0.2500 0.3749 0.1874
13 S 0.2500 0.8130 0.6251
14 S 0.2500 0.8131 0.1865

6.
Below is a relaxed Tl8AsS2 crystal, with properties calculated at the PBE level.

Properties
Its mass density is 8.7 g/cm3. Its energy relative to the elements, uncorrected is -0.132 eV per atom. The space-group type is C2/m, No. 12.

Unit cell a=4.2733 b=7.1958 c=11.5132 alpha=77.02 beta=100.69 gamma=90.00
Sites, in units of the cell vectors:
1 Tl 0.6003 0.5870 0.2005
2 Tl 0.3617 0.9658 0.7233
3 Tl 0.2219 0.2983 0.4439
4 Tl 0.9758 0.7420 0.9515
5 Tl 0.7781 0.7017 0.5561
6 Tl 0.6383 0.0342 0.2767
7 Tl 0.3997 0.4130 0.7995
8 Tl 0.0242 0.2580 0.0485
9 As 0.5000 0.0000 0.0000
10 S 0.1785 0.7259 0.3570
11 S 0.8215 0.2741 0.6430

7.
Below is a relaxed TlAs2S3 crystal, with properties calculated at the PBE level.

Properties
Its mass density is 5.0 g/cm3. Its energy relative to the elements, uncorrected is -0.060 eV per atom. The excess energy over the best structure of this formula in the dataset comes out at 0.040 eV per atom. The space-group type is Pmc2_1, No. 26.

Unit cell a=3.5973 b=7.5460 c=10.9902 alpha=90.00 beta=90.00 gamma=90.00
Sites, in units of the cell vectors:
1 Tl 0.0000 0.0156 0.8488
2 Tl 0.0000 0.5156 0.1512
3 As 0.0000 0.0079 0.1821
4 As 0.5000 0.9332 0.4903
5 As 0.0000 0.5079 0.8179
6 As 0.5000 0.4332 0.5097
7 S 0.5000 0.1647 0.0857
8 S 0.5000 0.2983 0.6903
9 S 0.0000 0.2816 0.4069
10 S 0.5000 0.6647 0.9143
11 S 0.5000 0.7983 0.3097
12 S 0.0000 0.7816 0.5931

8.
Below is a relaxed TlAsS crystal, with properties calculated at the PBE level.

Properties
Its mass density is 6.4 g/cm3. Its energy relative to the elements, uncorrected is 0.125 eV per atom. The excess energy over the best structure of this formula in the dataset comes out at 0.342 eV per atom. The space-group type is P3m1, No. 156.

Unit cell a=3.6504 b=3.6504 c=7.0481 alpha=90.00 beta=90.00 gamma=120.00
Sites, in units of the cell vectors:
1 S 0.0000 0.0000 0.3864
2 Tl 0.3333 0.6667 0.6780
3 As 0.0000 0.0000 0.0848

9.
Below is a relaxed Tl3As5S12 crystal, with properties calculated at the PBE level.

Properties
Its mass density is 4.6 g/cm3. Its energy relative to the elements, uncorrected is 0.018 eV per atom. The space-group type is Ia-3d, No. 230.

Unit cell a=13.7271 b=13.7271 c=13.7271 alpha=109.47 beta=109.47 gamma=109.47
Sites, in units of the cell vectors:
1 Tl 0.7500 0.3750 0.1250
2 Tl 0.8750 0.7500 0.1250
3 Tl 0.3750 0.7500 0.6250
4 Tl 0.2500 0.1250 0.3750
5 Tl 0.8750 0.1250 0.2500
6 Tl 0.3750 0.6250 0.2500
7 Tl 0.6250 0.3750 0.7500
8 Tl 0.1250 0.8750 0.7500
9 Tl 0.7500 0.8750 0.6250
10 Tl 0.6250 0.2500 0.3750
11 Tl 0.1250 0.2500 0.8750
12 Tl 0.2500 0.6250 0.8750
13 As 0.1250 0.3750 0.2500
14 As 0.0000 0.5000 0.0000
15 As 0.0000 0.0000 0.0000
16 As 0.3750 0.2500 0.1250
17 As 0.5000 0.0000 0.5000
18 As 0.5000 0.5000 0.0000
19 As 0.1250 0.7500 0.3750
20 As 0.7500 0.1250 0.8750
21 As 0.7500 0.6250 0.3750
22 As 0.3750 0.1250 0.7500
23 As 0.6250 0.8750 0.2500
24 As 0.5000 0.5000 0.5000
25 As 0.5000 0.0000 0.0000
26 As 0.0000 0.0000 0.5000
27 As 0.2500 0.3750 0.6250
28 As 0.2500 0.8750 0.1250
29 As 0.0000 0.5000 0.5000
30 As 0.8750 0.2500 0.6250
31 As 0.6250 0.7500 0.8750
32 As 0.8750 0.6250 0.7500
33 S 0.7041 0.1102 0.0136
34 S 0.3095 0.5136 0.4034
35 S 0.9864 0.3898 0.2959
36 S 0.5136 0.2041 0.1102
37 S 0.5939 0.7041 0.6905
38 S 0.9864 0.5966 0.1905
39 S 0.3095 0.7959 0.4061
40 S 0.0966 0.9061 0.1102
41 S 0.5966 0.9864 0.6905
42 S 0.7041 0.5939 0.1905
43 S 0.7959 0.4864 0.3898
44 S 0.8095 0.9034 0.0136
45 S 0.1102 0.7041 0.5136
46 S 0.3898 0.4034 0.0939
47 S 0.0939 0.9034 0.3898
48 S 0.4061 0.1102 0.5966
49 S 0.0939 0.1905 0.2041
50 S 0.4864 0.6905 0.0966
51 S 0.8095 0.9061 0.2959
52 S 0.1102 0.4061 0.0966
53 S 0.3898 0.9864 0.7959
54 S 0.5966 0.6102 0.4061
55 S 0.9034 0.8095 0.5136
56 S 0.7959 0.3095 0.9061
57 S 0.4034 0.3898 0.5939
58 S 0.0966 0.1905 0.4864
59 S 0.2041 0.6905 0.0939
60 S 0.1905 0.0939 0.7041
61 S 0.6102 0.0136 0.2041
62 S 0.8898 0.5939 0.9034
63 S 0.5136 0.3095 0.9034
64 S 0.5939 0.8898 0.4034
65 S 0.9061 0.8095 0.7959
66 S 0.9061 0.0966 0.6102
67 S 0.8898 0.2959 0.4864
68 S 0.1905 0.0966 0.9864
69 S 0.6102 0.5966 0.9061
70 S 0.4034 0.0136 0.3095
71 S 0.2959 0.4061 0.8095
72 S 0.2041 0.5136 0.6102
73 S 0.9034 0.0939 0.8898
74 S 0.6905 0.2041 0.5939
75 S 0.4864 0.7959 0.8898
76 S 0.0136 0.4034 0.8095
77 S 0.4061 0.2959 0.3095
78 S 0.0136 0.6102 0.7041
79 S 0.6905 0.4864 0.5966
80 S 0.2959 0.8898 0.9864

10.
Below is a relaxed Tl5AsS6 crystal, with properties calculated at the PBE level.

Properties
Its mass density is 7.1 g/cm3. Its energy relative to the elements, uncorrected is -0.179 eV per atom. The space-group type is C2/m, No. 12.

Unit cell a=6.8502 b=6.8734 c=7.6885 alpha=81.61 beta=72.98 gamma=60.11
Sites, in units of the cell vectors:
1 S 0.6140 0.3181 0.2004
2 S 0.0678 0.3181 0.7996
3 S 0.7498 0.0000 0.7943
4 S 0.2502 0.0000 0.2057
5 S 0.9322 0.6819 0.2004
6 S 0.3860 0.6819 0.7996
7 Tl 0.1700 0.6599 0.5000
8 Tl 0.3341 0.3319 0.0000
9 Tl 0.5000 0.0000 0.5000
10 Tl 0.6659 0.6681 0.0000
11 Tl 0.8300 0.3401 0.5000
12 As 0.0000 0.0000 0.0000

11.
Below is a relaxed Tl3AsS crystal, with properties calculated at the PBE level.

Properties
Its mass density is 7.1 g/cm3. Its energy relative to the elements, uncorrected is 0.289 eV per atom. The excess energy over the best structure of this formula in the dataset comes out at 0.000 eV per atom. The space-group type is Pm-3m, No. 221.

Unit cell a=5.5159 b=5.5159 c=5.5159 alpha=90.00 beta=90.00 gamma=90.00
Sites, in units of the cell vectors:
1 S 0.5000 0.5000 0.5000
2 Tl 0.0000 0.5000 0.0000
3 Tl 0.0000 0.0000 0.5000
4 Tl 0.5000 0.0000 0.0000
5 As 0.0000 0.0000 0.0000

12.
Below is a relaxed Tl8As3S8 crystal, with properties calculated at the PBE level.

Properties
Its mass density is 6.1 g/cm3. Its energy relative to the elements, uncorrected is -0.100 eV per atom. The space-group type is C2/m, No. 12.

Unit cell a=6.3255 b=8.6051 c=11.0216 alpha=95.57 beta=106.68 gamma=90.00
Each line ends with the local moment (μB).
Sites, in units of the cell vectors:
1 Tl 0.9917 0.2669 0.9834  0.00
2 Tl 0.0083 0.7331 0.0166  0.00
3 Tl 0.3527 0.4860 0.7055  0.00
4 Tl 0.6473 0.5140 0.2945  0.00
5 Tl 0.4073 0.9970 0.8147  0.01
6 Tl 0.5927 0.0030 0.1853  0.01
7 Tl 0.2216 0.8352 0.4432  0.01
8 Tl 0.7784 0.1648 0.5568  0.01
9 As 0.5000 0.5000 0.0000  -0.25
10 As 0.1786 0.2898 0.3572  0.17
11 As 0.8214 0.7102 0.6428  0.17
12 S 0.1163 0.0654 0.2325  0.03
13 S 0.8837 0.9346 0.7675  0.03
14 S 0.1146 0.4786 0.2292  0.03
15 S 0.8854 0.5214 0.7708  0.03
16 S 0.3107 0.1460 0.6213  0.02
17 S 0.6893 0.8540 0.3787  0.02
18 S 0.4882 0.7826 0.9765  -0.01
19 S 0.5118 0.2174 0.0235  -0.01

13.
Below is a relaxed TlAs2S3 crystal, with properties calculated at the PBE level.

Properties
Its mass density is 4.3 g/cm3. Its energy relative to the elements, uncorrected is -0.100 eV per atom. The excess energy over the best structure of this formula in the dataset comes out at 0.000 eV per atom. The space-group type is C2/c, No. 15.

Unit cell a=8.1666 b=8.7253 c=12.7765 alpha=109.97 beta=149.38 gamma=90.00
Sites, in units of the cell vectors:
1 Tl 0.7500 0.1110 0.0000
2 Tl 0.2500 0.8890 0.0000
3 As 0.3409 0.5337 0.2126
4 As 0.8409 0.6788 0.2126
5 As 0.1591 0.3212 0.7874
6 As 0.6591 0.4663 0.7874
7 S 0.2500 0.2806 0.0000
8 S 0.7500 0.7194 0.0000
9 S 0.2293 0.1756 0.5657
10 S 0.2707 0.6099 0.4343
11 S 0.7293 0.3901 0.5657
12 S 0.7707 0.8244 0.4343

14.
Below is a relaxed TlAsS4 crystal, with properties calculated at the PBE level.

Properties
Its mass density is 3.7 g/cm3. Its energy relative to the elements, uncorrected is -0.078 eV per atom. The excess energy over the best structure of this formula in the dataset comes out at 0.000 eV per atom. The space-group type is P-1, No. 2.

Unit cell a=6.5341 b=7.2054 c=10.4897 alpha=121.26 beta=93.27 gamma=112.27
Sites, in units of the cell vectors:
1 Tl 0.3347 0.1599 0.6784
2 Tl 0.6653 0.8401 0.3216
3 As 0.2104 0.4304 0.4166
4 As 0.7896 0.5696 0.5834
5 S 0.1556 0.7362 0.0002
6 S 0.8362 0.6141 0.9908
7 S 0.9610 0.6352 0.4170
8 S 0.0390 0.3648 0.5830
9 S 0.5434 0.7942 0.5812
10 S 0.1638 0.3859 0.0092
11 S 0.4566 0.2058 0.4188
12 S 0.8444 0.2638 0.9998

15.
Below is a relaxed Tl3AsS3 crystal, with properties calculated at the PBE level.

Properties
Its mass density is 6.5 g/cm3. Its energy relative to the elements, uncorrected is -0.310 eV per atom. The excess energy over the best structure of this formula in the dataset comes out at 0.011 eV per atom. The space-group type is R3m, No. 160.

Unit cell a=6.1523 b=6.1523 c=6.1523 alpha=105.68 beta=105.68 gamma=105.68
Sites, in units of the cell vectors:
1 Tl 0.0087 0.6138 0.0087
2 Tl 0.0087 0.0087 0.6138
3 Tl 0.6138 0.0087 0.0087
4 As 0.4385 0.4385 0.4385
5 S 0.4229 0.0593 0.4229
6 S 0.4229 0.4229 0.0593
7 S 0.0593 0.4229 0.4229

16.
Below is a relaxed Tl5As2S6 crystal, with properties calculated at the PBE level.

Properties
Its mass density is 5.7 g/cm3. Its energy relative to the elements, uncorrected is -0.268 eV per atom. The space-group type is Pbam, No. 55.

Unit cell a=4.6427 b=12.8116 c=13.2475 alpha=90.00 beta=90.00 gamma=90.00
Sites, in units of the cell vectors:
1 Tl 0.5000 0.3496 0.5659
2 Tl 0.5000 0.6504 0.4341
3 Tl 0.5000 0.8496 0.9341
4 Tl 0.5000 0.1504 0.0659
5 Tl 0.5000 0.4078 0.2438
6 Tl 0.5000 0.5922 0.7562
7 Tl 0.5000 0.9078 0.2562
8 Tl 0.5000 0.0922 0.7438
9 Tl 0.5000 0.5000 0.0000
10 Tl 0.5000 0.0000 0.5000
11 As 0.0000 0.2253 0.3831
12 As 0.0000 0.7747 0.6169
13 As 0.0000 0.7253 0.1169
14 As 0.0000 0.2747 0.8831
15 S 0.0000 0.1793 0.5470
16 S 0.0000 0.8207 0.4530
17 S 0.0000 0.6793 0.9530
18 S 0.0000 0.3207 0.0470
19 S 0.5000 0.1888 0.3299
20 S 0.5000 0.8112 0.6701
21 S 0.5000 0.6888 0.1701
22 S 0.5000 0.3112 0.8299
23 S 0.0000 0.4011 0.3923
24 S 0.0000 0.5989 0.6077
25 S 0.0000 0.9011 0.1077
26 S 0.0000 0.0989 0.8923

17.
Below is a relaxed TlAsS crystal, with properties calculated at the PBE level.

Properties
Its mass density is 6.3 g/cm3. Its energy relative to the elements, uncorrected is 0.051 eV per atom. The excess energy over the best structure of this formula in the dataset comes out at 0.267 eV per atom. The space-group type is P4mm, No. 99.

Unit cell a=3.7068 b=3.7067 c=6.0171 alpha=90.00 beta=90.01 gamma=90.00
Sites, in units of the cell vectors:
1 S 0.8321 0.0000 0.6813
2 Tl 0.3321 0.5000 0.9678
3 As 0.8321 0.0000 0.3279